Record 1
This record from Alexandria via LeMat-Bulk describes a relaxed Tl2CdW crystal. The functional is PBE-GGA.

The structure in POSCAR format:
```
Tl2CdW
1.0
5.8290 -1.4890 0.0000
5.8290 1.4890 0.0000
-1.1738 0.0000 5.1103
Tl Cd W
2 1 1
Cartesian
0.0000 0.0000 0.0000 Tl
1.7140 0.0000 3.2733 Tl
8.8026 0.0000 0.9045 Cd
4.9029 0.0000 2.5278 W
```

formation energy from the elements = 0.7598 eV/atom
total magnetization = 0.00 μB per cell
calculated density = 13.20 g/cm3
E = -15.56 eV per cell
symmetry = Cm
E above lowest polymorph = 0.46 eV per formula unit

Record 2
This record from Alexandria via LeMat-Bulk describes a relaxed Tl2CdW crystal. The functional is PBE-GGA.

The structure in POSCAR format:
```
Tl2CdW
1.0
4.5575 0.0000 0.0000
0.0000 4.5575 0.0000
0.0000 0.0000 4.1765
Tl Cd W
2 1 1
Cartesian
0.0000 2.2788 0.0000 Tl
2.2788 0.0000 0.0000 Tl
0.0000 0.0000 2.0882 Cd
2.2788 2.2788 2.0882 W
```

formation energy from the elements = 0.9747 eV/atom
total magnetization = 1.32 μB per cell
calculated density = 13.50 g/cm3
E = -14.70 eV per cell
symmetry = P4/mmm
E above lowest polymorph = 1.32 eV per formula unit

Record 3
This record from Alexandria via LeMat-Bulk describes a relaxed Tl2CdW crystal. The functional is PBE-GGA.

The structure in POSCAR format:
```
Tl2CdW
1.0
1.5457 0.8924 11.0563
-1.5457 0.8924 11.0563
0.0000 -1.7848 11.0563
Tl Cd W
2 1 1
Cartesian
0.0000 0.0000 0.0000 Tl
0.0000 0.0000 7.8899 Tl
0.0000 0.0000 25.1112 Cd
0.0000 0.0000 16.4200 W
```

formation energy from the elements = 0.6667 eV/atom
total magnetization = 0.00 μB per cell
calculated density = 12.79 g/cm3
E = -15.93 eV per cell
symmetry = R3m
E above lowest polymorph = 0.09 eV per formula unit

Record 4
This record from Alexandria via LeMat-Bulk describes a relaxed TlCdW2 crystal. The functional is PBE-GGA.

The structure in POSCAR format:
```
TlCdW2
1.0
3.9975 0.0000 0.0000
0.0000 3.9975 0.0000
0.0000 0.0000 4.6891
Tl Cd W
1 1 2
Cartesian
0.0000 0.0000 0.0000 Tl
1.9987 1.9987 0.0000 Cd
0.0000 1.9987 2.3446 W
1.9987 0.0000 2.3446 W
```

formation energy from the elements = 1.0046 eV/atom
total magnetization = 0.02 μB per cell
calculated density = 15.17 g/cm3
E = -25.17 eV per cell
symmetry = P4/mmm
E above lowest polymorph = 1.87 eV per formula unit

Record 5
This record from Alexandria via LeMat-Bulk describes a relaxed Tl2CdW crystal. The functional is PBE-GGA.

The structure in POSCAR format:
```
Tl2CdW
1.0
1.8989 -2.2448 0.0000
1.8989 2.2448 0.0000
0.0000 0.0000 11.2076
Tl Cd W
2 1 1
Cartesian
0.0000 0.0000 0.0000 Tl
1.8989 0.0000 3.5645 Tl
1.8989 0.0000 8.3162 Cd
0.0000 0.0000 6.0995 W
```

formation energy from the elements = 0.6475 eV/atom
total magnetization = 0.00 μB per cell
calculated density = 12.25 g/cm3
E = -16.01 eV per cell
symmetry = Cmm2
E above lowest polymorph = 0.01 eV per formula unit

Record 6
This record from Alexandria via LeMat-Bulk describes a relaxed TlCdW2 crystal. The functional is PBE-GGA.

The structure in POSCAR format:
```
TlCdW2
1.0
-1.9996 1.9996 4.6785
1.9996 -1.9996 4.6785
1.9996 1.9996 -4.6785
Tl Cd W
1 1 2
Cartesian
0.0000 0.0000 0.0000 Tl
0.0000 0.0000 4.6785 Cd
1.9996 0.0000 2.3392 W
0.0000 1.9996 2.3392 W
```

formation energy from the elements = 0.9991 eV/atom
total magnetization = 0.00 μB per cell
calculated density = 15.19 g/cm3
E = -25.19 eV per cell
symmetry = I4/mmm
E above lowest polymorph = 1.85 eV per formula unit

Record 7
This record from Alexandria via LeMat-Bulk describes a relaxed Tl2CdW crystal. The functional is PBE-GGA.

The structure in POSCAR format:
```
Tl2CdW
1.0
0.0000 3.6370 3.6370
3.6370 0.0000 3.6370
3.6370 3.6370 0.0000
Tl Cd W
2 1 1
Cartesian
0.0000 0.0000 0.0000 Tl
1.8185 1.8185 1.8185 Tl
3.6370 3.6370 3.6370 Cd
5.4555 5.4555 5.4555 W
```

formation energy from the elements = 1.1356 eV/atom
total magnetization = 3.28 μB per cell
calculated density = 12.17 g/cm3
E = -14.06 eV per cell
symmetry = F-43m
E above lowest polymorph = 1.96 eV per formula unit

Record 8
This record from Alexandria via LeMat-Bulk describes a relaxed Tl2CdW crystal. The functional is PBE-GGA.

The structure in POSCAR format:
```
Tl2CdW
1.0
5.3899 0.0000 0.0000
0.0000 5.3899 0.0000
0.0000 0.0000 3.0117
Tl Cd W
2 1 1
Cartesian
0.0000 2.6950 0.0000 Tl
2.6950 0.0000 0.0000 Tl
0.0000 0.0000 1.5059 Cd
2.6950 2.6950 1.5059 W
```

formation energy from the elements = 0.8619 eV/atom
total magnetization = 0.00 μB per cell
calculated density = 13.38 g/cm3
E = -15.15 eV per cell
symmetry = P4/mmm
E above lowest polymorph = 0.87 eV per formula unit

Record 9
This record from Alexandria via LeMat-Bulk describes a relaxed Tl2CdW crystal. The functional is PBE-GGA.

The structure in POSCAR format:
```
Tl2CdW
1.0
0.0000 3.5679 3.5679
3.5679 0.0000 3.5679
3.5679 3.5679 0.0000
Tl Cd W
2 1 1
Cartesian
1.7839 1.7839 1.7839 Tl
5.3518 5.3518 5.3518 Tl
0.0000 0.0000 0.0000 Cd
3.5679 3.5679 3.5679 W
```

formation energy from the elements = 1.1032 eV/atom
total magnetization = 2.12 μB per cell
calculated density = 12.89 g/cm3
E = -14.19 eV per cell
symmetry = Fm-3m
E above lowest polymorph = 1.83 eV per formula unit

Record 10
This record from Alexandria via LeMat-Bulk describes a relaxed Tl2CdW crystal. The functional is PBE-GGA.

The structure in POSCAR format:
```
Tl2CdW
1.0
-2.1374 2.1374 4.6704
2.1374 -2.1374 4.6704
2.1374 2.1374 -4.6704
Tl Cd W
2 1 1
Cartesian
2.1374 0.0000 2.3352 Tl
0.0000 2.1374 2.3352 Tl
0.0000 0.0000 0.0000 Cd
0.0000 0.0000 4.6704 W
```

formation energy from the elements = 0.9417 eV/atom
total magnetization = 0.00 μB per cell
calculated density = 13.72 g/cm3
E = -14.83 eV per cell
symmetry = I4/mmm
E above lowest polymorph = 1.19 eV per formula unit

Record 11
This record from Alexandria via LeMat-Bulk describes a relaxed TlCdW2 crystal. The functional is PBE-GGA.

The structure in POSCAR format:
```
TlCdW2
1.0
2.8262 0.0000 0.0000
0.0000 2.8262 0.0000
0.0000 0.0000 9.4286
Tl Cd W
1 1 2
Cartesian
0.0000 0.0000 0.0000 Tl
0.0000 0.0000 4.7143 Cd
1.4131 1.4131 2.4113 W
1.4131 1.4131 7.0172 W
```

formation energy from the elements = 1.0302 eV/atom
total magnetization = 0.00 μB per cell
calculated density = 15.09 g/cm3
E = -25.07 eV per cell
symmetry = P4/mmm
E above lowest polymorph = 1.97 eV per formula unit

Record 12
This record from Alexandria via LeMat-Bulk describes a relaxed TlCdW2 crystal. The functional is PBE-GGA.

The structure in POSCAR format:
```
TlCdW2
1.0
1.6232 -2.4336 0.0000
1.6232 2.4336 0.0000
0.0000 0.0000 10.3674
Tl Cd W
1 1 2
Cartesian
0.0000 0.0000 0.0000 Tl
1.6232 0.0000 7.2156 Cd
0.0000 0.0000 4.7172 W
1.6232 0.0000 2.7236 W
```

formation energy from the elements = 0.5367 eV/atom
total magnetization = 0.00 μB per cell
calculated density = 13.88 g/cm3
E = -27.04 eV per cell
symmetry = Cmm2
E above lowest polymorph = 0.00 eV per formula unit

Q: The highest E belongs to which entry?
A: number 7